Compound: Na3MgRh2O6
Source: Alexandria
Functional: PBE
Structure: relaxed

a = 5.363 Å, b = 5.363 Å, c = 5.636 Å
α = 99.14°, β = 99.14°, γ = 119.92°
Each line ends with the local moment (μB).
Atoms (fractional coordinates):
Na: 0.833 0.167 0.500  0.00
O: 0.729 0.729 0.204  0.04
Na: 0.167 0.833 0.500  0.00
Mg: 0.000 0.000 0.000  0.01
Na: 0.500 0.500 0.500  0.00
O: 0.593 0.933 0.797  0.04
O: 0.067 0.407 0.203  0.04
O: 0.271 0.271 0.796  0.04
Rh: 0.666 0.334 0.000  0.39
O: 0.933 0.593 0.797  0.04
O: 0.407 0.067 0.203  0.04
Rh: 0.334 0.666 0.000  0.39

Calculated values
- Space-group type: C2/m (12)
- Electronic total energy: -5.62 eV/atom
- M_tot: 1.12 μB/f.u.
- Fermi-level density of states: 7.85 states/eV/cell
- Calculated density: 4.9 Mg/m³